Computed, not measured: crystalline Li2ScSb at its relaxed geometry at the PBE level of DFT.

Total DFT energy (no corrections): -3.716 eV/atom
Size of the total moment: 0.66 μB/cell
Formation energy from raw total energies: -0.15 eV per atom

CIF file:
```
data_Li2ScSb
_chemical_formula_sum 'Li2 Sc1 Sb1'
_symmetry_space_group_name_H-M 'P 1'
_symmetry_Int_Tables_number 1
_cell_length_a 9.896
_cell_length_b 9.896
_cell_length_c 9.896
_cell_angle_alpha 19.33
_cell_angle_beta 19.33
_cell_angle_gamma 19.33
loop_
_symmetry_equiv_pos_as_xyz
'x,y,z'
loop_
_atom_site_label
_atom_site_type_symbol
_atom_site_fract_x
_atom_site_fract_y
_atom_site_fract_z
Li1 Li 0.000 0.000 0.000
Li2 Li 0.246 0.246 0.246
Sc1 Sc 0.493 0.493 0.493
Sb1 Sb 0.743 0.743 0.743
```



Computed, not measured: crystalline Pr3Y6Tm at its relaxed geometry at the PBE level of DFT.

Total DFT energy (no corrections): -5.617 eV/atom
Formation energy from the elements: 0.142 eV per atom
Size of the total moment: 0.00 μB/cell

CIF file:
```
data_Pr3Y6Tm
_chemical_formula_sum 'Pr6 Y12 Tm2'
_symmetry_space_group_name_H-M 'P 1'
_symmetry_Int_Tables_number 1
_cell_length_a 10.950
_cell_length_b 10.950
_cell_length_c 6.458
_cell_angle_alpha 90.00
_cell_angle_beta 90.00
_cell_angle_gamma 119.74
loop_
_symmetry_equiv_pos_as_xyz
'x,y,z'
loop_
_atom_site_label
_atom_site_type_symbol
_atom_site_fract_x
_atom_site_fract_y
_atom_site_fract_z
Pr1 Pr 0.114 0.886 0.500
Pr2 Pr 0.208 0.436 0.894
Pr3 Pr 0.436 0.208 0.394
Pr4 Pr 0.564 0.792 0.894
Pr5 Pr 0.792 0.564 0.394
Pr6 Pr 0.886 0.114 0.000
Y1 Y 0.028 0.446 0.302
Y2 Y 0.124 0.213 0.484
Y3 Y 0.213 0.124 0.984
Y4 Y 0.233 0.767 0.086
Y5 Y 0.446 0.028 0.802
Y6 Y 0.461 0.539 0.294
Y7 Y 0.539 0.461 0.794
Y8 Y 0.554 0.972 0.302
Y9 Y 0.767 0.233 0.586
Y10 Y 0.787 0.876 0.484
Y11 Y 0.876 0.787 0.984
Y12 Y 0.972 0.554 0.802
Tm1 Tm 0.307 0.693 0.565
Tm2 Tm 0.693 0.307 0.065
```



> Which of these has the lowest size of the total moment?

Pr3Y6Tm